Entry 1:
An optimized crystal structure of NaSrLa2Si. Source: Alexandria, functional PBE.

The space group is P4/mmm (No. 123) and the conventional cell measures 6.021, 6.021 and 5.588 Å, with angles of 90.00, 90.00 and 90.00 degrees. The distinct sites, in fractional coordinates, are Na at (0.000, 0.000, 0.000), Sr at (0.500, 0.500, 0.500), La at (0.000, 0.500, 0.500) and Si at (0.500, 0.500, 0.000).

Its final energy is -13.680 eV for the cell shown. The value obtained for the distance to the lowest polymorph of the same formula is 376.7 meV per atom. As for the theoretical density: 3.41 g cm⁻³. Its raw formation energy is 0.920 eV/atom.


Entry 2:
An optimized crystal structure of LaSmH4. Source: Alexandria, functional PBE.

The space group is P4/mmm (No. 123) and the conventional cell measures 3.878, 3.878 and 5.528 Å, with angles of 90.00, 90.00 and 90.00 degrees. The distinct sites, in fractional coordinates, are La at (0.000, 0.000, 0.000), Sm at (0.500, 0.500, 0.500) and H at (0.000, 0.500, 0.264).

Its final energy is -27.026 eV for the cell shown. As for the theoretical density: 5.86 g cm⁻³.


Entry 3:
An optimized crystal structure of AcErPuIn. Source: Alexandria, functional PBE.

The space group is F-43m (No. 216) and the conventional cell measures 7.871, 7.871 and 7.871 Å, with angles of 90.00, 90.00 and 90.00 degrees. The distinct sites, in fractional coordinates, are Ac at (0.000, 0.000, 0.000), Er at (0.250, 0.250, 0.250), Pu at (0.250, 0.250, 0.750) and In at (0.000, 0.000, 0.500).

The value obtained for the formation energy is 83 meV/atom. Its final energy is -101.638 eV for the cell shown. As for the theoretical density: 10.26 g cm⁻³.


Entry 4:
An optimized crystal structure of Pm2BeNiPt6. Source: Alexandria, functional PBE.

The space group is R-3m (No. 166, hexagonal axes) and the conventional cell measures 5.6614, 5.6614 and 19.9864 Å, with angles of 90.00, 90.00 and 120.00 degrees. The distinct sites, in fractional coordinates, are Pm at (0.0000, 0.0000, 0.2082), Be at (0.0000, 0.0000, 0.0000), Ni at (0.0000, 0.0000, 0.5000) and Pt at (0.0107, 0.5054, 0.2644).

The value obtained for the formation energy is -709 meV/atom. Its final energy is -187.021 eV for the cell shown. As for the theoretical density: 13.72 g cm⁻³.


Entry 5:
An optimized crystal structure of BaP2PtS. Source: Alexandria, functional PBE.

The space group is P4/mmm (No. 123) and the conventional cell measures 4.686, 4.686 and 5.402 Å, with angles of 90.00, 90.00 and 90.00 degrees. The distinct sites, in fractional coordinates, are Ba at (0.000, 0.000, 0.000), P at (0.000, 0.500, 0.500), Pt at (0.500, 0.500, 0.500) and S at (0.500, 0.500, 0.000).

Its final energy is -24.510 eV for the cell shown. The value obtained for the distance to the lowest polymorph of the same formula is 0.0 meV per atom. As for the theoretical density: 5.97 g cm⁻³. Its raw formation energy is -0.320 eV/atom.


Entry 6:
An optimized crystal structure of Li2La3Mg2Ag4. Source: Alexandria, functional PBE.

The space group is P-3m1 (No. 164) and the conventional cell measures 4.9686, 4.9686 and 12.8934 Å, with angles of 90.00, 90.00 and 120.00 degrees. The distinct sites, in fractional coordinates, are Li at (0.3333, 0.6667, 0.1342), La at (0.0000, 0.0000, 0.0000), La at (0.0000, 0.0000, 0.2697), Mg at (0.3333, 0.6667, 0.5745), Ag at (0.3333, 0.6667, 0.3657) and Ag at (0.3333, 0.6667, 0.8663).

The value obtained for the formation energy is -133 meV/atom. Its final energy is -34.669 eV for the cell shown. As for the theoretical density: 5.49 g cm⁻³.


Entry 7:
An optimized crystal structure of ZnHg2Br. Source: Alexandria, functional PBE.

The space group is P4/mmm (No. 123) and the conventional cell measures 3.521, 3.521 and 7.844 Å, with angles of 90.00, 90.00 and 90.00 degrees. The distinct sites, in fractional coordinates, are Zn at (0.000, 0.000, 0.000), Hg at (0.500, 0.500, 0.227) and Br at (0.000, 0.000, 0.500).

Its final energy is -3.501 eV for the cell shown. The value obtained for the distance to the lowest polymorph of the same formula is 197.5 meV per atom. As for the theoretical density: 9.33 g cm⁻³. Its raw formation energy is 0.012 eV/atom.


Entry 8:
An optimized crystal structure of TmClO. Source: Alexandria, functional PBE.

The space group is P3m1 (No. 156) and the conventional cell measures 3.5912, 3.5912 and 5.6683 Å, with angles of 90.00, 90.00 and 120.00 degrees. The distinct sites, in fractional coordinates, are Tm at (0.0000, 0.0000, 0.0000), Cl at (0.3333, 0.6667, 0.6779) and O at (0.6667, 0.3333, 0.1068).

Its final energy is -20.171 eV for the cell shown. As for the theoretical density: 5.78 g cm⁻³. Its raw formation energy is -2.965 eV/atom.


Entry 9:
An optimized crystal structure of ReHPd. Source: Alexandria, functional PBE.

The space group is Pnma (No. 62) and the conventional cell measures 4.898, 5.520 and 4.912 Å, with angles of 90.00, 90.00 and 90.00 degrees. The distinct sites, in fractional coordinates, are Re at (0.000, 0.000, 0.000), H at (0.188, 0.250, 0.190) and Pd at (0.004, 0.250, 0.524).

Its final energy is -78.305 eV for the cell shown. The value obtained for the distance to the lowest polymorph of the same formula is 278.8 meV per atom. As for the theoretical density: 14.68 g cm⁻³.


Entry 10:
An optimized crystal structure of InTcNF2. Source: Alexandria, functional PBE.

The space group is P4/mmm (No. 123) and the conventional cell measures 4.396, 4.396 and 3.803 Å, with angles of 90.00, 90.00 and 90.00 degrees. The distinct sites, in fractional coordinates, are In at (0.000, 0.000, 0.000), Tc at (0.500, 0.500, 0.500), N at (0.500, 0.500, 0.000) and F at (0.000, 0.500, 0.500).

Its final energy is -29.083 eV for the cell shown. The value obtained for the distance to the lowest polymorph of the same formula is 0.0 meV per atom. As for the theoretical density: 5.98 g cm⁻³. Its raw formation energy is -0.782 eV/atom.


Entry 11:
An optimized crystal structure of RuPt2Rh. Source: Alexandria, functional PBE.

The space group is Pmmm (No. 47) and the conventional cell measures 2.764, 3.895 and 5.502 Å, with angles of 90.00, 90.00 and 90.00 degrees. The distinct sites, in fractional coordinates, are Ru at (0.000, 0.000, 0.000), Pt at (0.500, 0.500, 0.246) and Rh at (0.000, 0.000, 0.500).

The value obtained for the formation energy is 10 meV/atom. Its final energy is -28.668 eV for the cell shown. The value obtained for the distance to the lowest polymorph of the same formula is 47.8 meV per atom. As for the theoretical density: 16.65 g cm⁻³.


Entry 12:
An optimized crystal structure of KFeGe2Pb. Source: Alexandria, functional PBE.

The space group is P4/mmm (No. 123) and the conventional cell measures 4.711, 4.711 and 5.578 Å, with angles of 90.00, 90.00 and 90.00 degrees. The distinct sites, in fractional coordinates, are K at (0.000, 0.000, 0.000), Fe at (0.000, 0.000, 0.500), Ge at (0.000, 0.500, 0.500) and Pb at (0.500, 0.500, 0.000).

The value obtained for the formation energy is 395 meV/atom. Its final energy is -20.527 eV for the cell shown. As for the theoretical density: 6.00 g cm⁻³.


| no. | magnetization (Bohr magnetons per cell) |
| --- | --- |
| 1 | 0.889 |
| 2 | 0.000 |
| 3 | 27.761 |
| 4 | 0.008 |
| 5 | 0.000 |
| 6 | 0.000 |
| 7 | 0.000 |
| 8 | 0.000 |
| 9 | 0.000 |
| 10 | 0.521 |
| 11 | 0.000 |
| 12 | 2.313 |